1.
A plane-wave DFT calculation with GGA-PBEsol was carried out for a geometry-optimized In2Si2Os structure.

abc: 3.707 3.707 14.221
angles: 90.00 90.00 90.00
Space group I4/mmm (No. 139)
Unique sites:
In (0.000, 0.500, 0.250)
Si (0.000, 0.000, 0.081)
Os (0.000, 0.000, 0.500)

Output
The value obtained for the uncorrected formation energy is 5.3 eV per formula unit.

2.
A plane-wave DFT calculation with GGA-PBEsol was carried out for a geometry-optimized InSi2Os structure.

abc: 4.114 4.114 3.639
angles: 90.00 90.00 90.00
Space group P4/mmm (No. 123)
Unique sites:
In (0.000, 0.000, 0.000)
Si (0.000, 0.500, 0.500)
Os (0.500, 0.500, 0.000)

Output
The value obtained for the uncorrected formation energy is 2.2 eV per formula unit.

3.
A plane-wave DFT calculation with GGA-PBEsol was carried out for a geometry-optimized InSi2Os2 structure.

abc: 3.591 3.591 11.986
angles: 90.00 90.00 90.00
Space group I4/mmm (No. 139)
Unique sites:
In (0.000, 0.000, 0.000)
Si (0.000, 0.500, 0.250)
Os (0.000, 0.000, 0.383)

Output
The value obtained for the uncorrected formation energy is -1.1 eV per formula unit.

4.
A plane-wave DFT calculation with GGA-PBEsol was carried out for a geometry-optimized SrTa2InOs structure.

abc: 4.826 4.826 5.683
angles: 90.00 90.00 90.00
Space group P4/mmm (No. 123)
Unique sites:
Sr (0.000, 0.000, 0.000)
Ta (0.000, 0.500, 0.500)
In (0.500, 0.500, 0.000)
Os (0.000, 0.000, 0.500)

Output
Its formation energy from the elements is 996 meV per atom.

5.
A plane-wave DFT calculation with GGA-PBEsol was carried out for a geometry-optimized TaInOs2 structure.

abc: 3.085 4.798 8.821
angles: 90.00 90.00 90.00
Space group Immm (No. 71)
Unique sites:
Ta (0.000, 0.000, 0.000)
In (0.000, 0.000, 0.500)
Os (0.000, 0.500, 0.264)

Output
Its formation energy from the elements is 310 meV per atom.

6.
A plane-wave DFT calculation with GGA-PBEsol was carried out for a geometry-optimized Ta2InOs structure.

abc: 5.702 8.113 2.933
angles: 90.00 90.00 90.00
Space group Cmmm (No. 65)
Unique sites:
Ta (0.250, 0.250, 0.000)
In (0.000, 0.000, 0.500)
Os (0.000, 0.500, 0.500)

Output
Its formation energy from the elements is 84 meV per atom.

Per-record calculated total energy, eV per atom: -4.880; -6.123; -7.997; -7.432; -9.681; -9.991